(1)
VASP calculation (PBE-GGA) on a relaxed structure of Ba2ReRu.

CIF file:
```
data_Ba2ReRu
_chemical_formula_sum 'Ba6 Re3 Ru3'
_space_group_name_H-M_alt 'R 3 m'
_space_group_IT_number 160
_space_group_name_Hall 'R 3 -2"'
_cell_length_a 4.2144
_cell_length_b 4.2144
_cell_length_c 28.2567
_cell_angle_alpha 90.00
_cell_angle_beta 90.00
_cell_angle_gamma 120.00
loop_
_atom_site_label
_atom_site_type_symbol
_atom_site_fract_x
_atom_site_fract_y
_atom_site_fract_z
_atom_site_occupancy
Ba1 Ba 0.0000 0.0000 0.0000 1
Ba2 Ba 0.0000 0.0000 0.1756 1
Re1 Re 0.0000 0.0000 0.7586 1
Ru1 Ru 0.0000 0.0000 0.4161 1
```

Results
Energy of formation from the pure elements in meV/atom: 293
Total energy in eV per atom: -6.099
Polymorph energy (0 for the lowest one) in eV/f.u.: 0.00



(2)
VASP calculation (PBE-GGA) on a relaxed structure of Pu3Sn2Pd3.

CIF file:
```
data_Pu3Sn2Pd3
_chemical_formula_sum 'Pu9 Sn6 Pd9'
_space_group_name_H-M_alt 'R -3 m'
_space_group_IT_number 166
_space_group_name_Hall '-R 3 2"'
_cell_length_a 5.5522
_cell_length_b 5.5522
_cell_length_c 20.3426
_cell_angle_alpha 90.00
_cell_angle_beta 90.00
_cell_angle_gamma 120.00
loop_
_atom_site_label
_atom_site_type_symbol
_atom_site_fract_x
_atom_site_fract_y
_atom_site_fract_z
_atom_site_occupancy
Pu1 Pu 0.0000 0.0000 0.0000 1
Pu2 Pu 0.0000 0.0000 0.4262 1
Sn1 Sn 0.0000 0.0000 0.2756 1
Pd1 Pd 0.0000 0.5000 0.5000 1
```

Results
Energy of formation from the pure elements in meV/atom: -472
Total energy in eV per atom: -8.795



Question: The highest total energy belongs to which entry?
Answer: Ba2ReRu